Material: PmSm4Pd4
Method: DFT, GGA-PBE
State: optimized geometry

Values from the calculation:
* symmetry: P4_2/n
* formation energy: -0.613 eV per atom

Unit cell a=9.107 b=9.107 c=5.937 alpha=90.00 beta=90.00 gamma=90.00
Positions (direct):
Pm 0.250 0.250 0.250
Pm 0.750 0.750 0.750
Sm 0.067 0.659 0.161
Sm 0.159 0.933 0.661
Sm 0.341 0.567 0.661
Sm 0.433 0.841 0.161
Sm 0.567 0.159 0.839
Sm 0.659 0.433 0.339
Sm 0.841 0.067 0.339
Sm 0.933 0.341 0.839
Pd 0.033 0.627 0.655
Pd 0.127 0.967 0.155
Pd 0.373 0.533 0.155
Pd 0.467 0.873 0.655
Pd 0.533 0.127 0.345
Pd 0.627 0.467 0.845
Pd 0.873 0.033 0.845
Pd 0.967 0.373 0.345